[1]
This record from the Alexandria database describes TlGaPCl2 after structural relaxation. The functional is PBEsol.

## Properties
total moment = 0.002 μB/cell
raw formation energy = -0.26 eV per atom

CIF file:
```
data_TlGaPCl2
_cell_length_a 4.887
_cell_length_b 4.887
_cell_length_c 4.793
_cell_angle_alpha 90.00
_cell_angle_beta 90.00
_cell_angle_gamma 90.00
_space_group_name_H-M_alt 'P 4/m m m'
_space_group_IT_number 123
_space_group_name_Hall '-P 4 2'
loop_
_atom_site_label
_atom_site_type_symbol
_atom_site_fract_x
_atom_site_fract_y
_atom_site_fract_z
Tl1 Tl 0.000 0.000 0.000
Ga1 Ga 0.500 0.500 0.500
P1 P 0.500 0.500 0.000
Cl1 Cl 0.000 0.500 0.500
```


[2]
This record from the Alexandria database describes GaPWCl2 after structural relaxation. The functional is PBEsol.

## Properties
total moment = 3.672 μB/cell
raw formation energy = 1.03 eV per atom

CIF file:
```
data_GaPWCl2
_cell_length_a 4.518
_cell_length_b 4.518
_cell_length_c 5.020
_cell_angle_alpha 90.00
_cell_angle_beta 90.00
_cell_angle_gamma 90.00
_space_group_name_H-M_alt 'P 4/m m m'
_space_group_IT_number 123
_space_group_name_Hall '-P 4 2'
loop_
_atom_site_label
_atom_site_type_symbol
_atom_site_fract_x
_atom_site_fract_y
_atom_site_fract_z
Ga1 Ga 0.000 0.000 0.000
P1 P 0.000 0.000 0.500
W1 W 0.500 0.500 0.500
Cl1 Cl 0.000 0.500 0.000
```


[3]
This record from the Alexandria database describes GaPbCl3 after structural relaxation. The functional is PBEsol.

## Properties
total moment = 0.000 μB/cell
raw formation energy = -0.86 eV per atom

CIF file:
```
data_GaPbCl3
_cell_length_a 7.7671
_cell_length_b 7.7671
_cell_length_c 10.2125
_cell_angle_alpha 90.00
_cell_angle_beta 90.00
_cell_angle_gamma 120.00
_space_group_name_H-M_alt 'R 3 m'
_space_group_IT_number 160
_space_group_name_Hall 'R 3 -2"'
loop_
_atom_site_label
_atom_site_type_symbol
_atom_site_fract_x
_atom_site_fract_y
_atom_site_fract_z
Ga1 Ga 0.0000 0.0000 0.0000
Pb1 Pb 0.0000 0.0000 0.3715
Cl1 Cl 0.0277 0.5138 0.8435
```


What is the total moment in the first record? 0.002 μB/cell